No. 1
The following is a PBE-GGA calculation of crystalline Co12Ge4C at its relaxed geometry, from Alexandria.

- Calculated formation energy: -0.041 eV/atom
- Crystal system: tetragonal
- Calculated volume: 11.14 Å³/atom
- Total energy: -6.686 eV per atom

Cell and atoms, written as CIF:
```
data_Co12Ge4C
_symmetry_space_group_name_H-M 'P 1'
_symmetry_Int_Tables_number 1
_cell_length_a 3.656
_cell_length_b 3.656
_cell_length_c 14.165
_cell_angle_alpha 90.00
_cell_angle_beta 90.00
_cell_angle_gamma 90.00
loop_
_symmetry_equiv_pos_as_xyz
'x,y,z'
loop_
_atom_site_label
_atom_site_type_symbol
_atom_site_fract_x
_atom_site_fract_y
_atom_site_fract_z
Co1 Co 0.000 0.000 0.122
Co2 Co 0.000 0.000 0.369
Co3 Co 0.000 0.000 0.631
Co4 Co 0.000 0.000 0.878
Co5 Co 0.000 0.500 0.000
Co6 Co 0.000 0.500 0.244
Co7 Co 0.000 0.500 0.500
Co8 Co 0.000 0.500 0.756
Co9 Co 0.500 0.000 0.000
Co10 Co 0.500 0.000 0.244
Co11 Co 0.500 0.000 0.500
Co12 Co 0.500 0.000 0.756
Ge1 Ge 0.500 0.500 0.123
Ge2 Ge 0.500 0.500 0.362
Ge3 Ge 0.500 0.500 0.638
Ge4 Ge 0.500 0.500 0.877
C1 C 0.000 0.000 0.500
```

=====

No. 2
The following is a PBE-GGA calculation of crystalline CsTmCuO3 at its relaxed geometry, from Alexandria.

- Crystal system: monoclinic
- Calculated volume: 19.63 Å³/atom
- Total energy: -6.019 eV per atom

Cell and atoms, written as CIF:
```
data_CsTmCuO3
_symmetry_space_group_name_H-M 'P 1'
_symmetry_Int_Tables_number 1
_cell_length_a 7.906
_cell_length_b 3.595
_cell_length_c 8.995
_cell_angle_alpha 90.00
_cell_angle_beta 112.87
_cell_angle_gamma 90.00
loop_
_symmetry_equiv_pos_as_xyz
'x,y,z'
loop_
_atom_site_label
_atom_site_type_symbol
_atom_site_fract_x
_atom_site_fract_y
_atom_site_fract_z
Cs1 Cs 0.221 0.250 0.215
Cs2 Cs 0.779 0.750 0.785
Tm1 Tm 0.331 0.750 0.865
Tm2 Tm 0.669 0.250 0.135
Cu1 Cu 0.048 0.250 0.627
Cu2 Cu 0.952 0.750 0.373
O1 O 0.131 0.750 0.597
O2 O 0.144 0.250 0.860
O3 O 0.484 0.750 0.126
O4 O 0.516 0.250 0.874
O5 O 0.856 0.750 0.140
O6 O 0.869 0.250 0.403
```

=====

No. 3
The following is a PBE-GGA calculation of crystalline RbRh3O6 at its relaxed geometry, from Alexandria.

- Crystal system: monoclinic
- Calculated volume: 12.77 Å³/atom
- Total energy: -6.093 eV per atom

Cell and atoms, written as CIF:
```
data_RbRh3O6
_symmetry_space_group_name_H-M 'P 1'
_symmetry_Int_Tables_number 1
_cell_length_a 9.108
_cell_length_b 3.143
_cell_length_c 9.360
_cell_angle_alpha 90.00
_cell_angle_beta 107.68
_cell_angle_gamma 90.00
loop_
_symmetry_equiv_pos_as_xyz
'x,y,z'
loop_
_atom_site_label
_atom_site_type_symbol
_atom_site_fract_x
_atom_site_fract_y
_atom_site_fract_z
Rb1 Rb 0.127 0.250 0.401
Rb2 Rb 0.873 0.750 0.599
Rh1 Rh 0.164 0.750 0.048
Rh2 Rh 0.258 0.250 0.798
Rh3 Rh 0.466 0.250 0.343
Rh4 Rh 0.534 0.750 0.657
Rh5 Rh 0.742 0.750 0.202
Rh6 Rh 0.836 0.250 0.952
O1 O 0.061 0.250 0.904
O2 O 0.180 0.750 0.664
O3 O 0.264 0.250 0.176
O4 O 0.321 0.750 0.942
O5 O 0.383 0.750 0.441
O6 O 0.447 0.250 0.738
O7 O 0.553 0.750 0.262
O8 O 0.617 0.250 0.559
O9 O 0.679 0.250 0.058
O10 O 0.736 0.750 0.824
O11 O 0.820 0.250 0.336
O12 O 0.939 0.750 0.096
```

=====

No. 4
The following is a PBE-GGA calculation of crystalline Ti2WBr at its relaxed geometry, from Alexandria.

- Polymorph energy (0 for the lowest one): 0.0 meV/atom
- Crystal system: cubic
- Calculated volume: 17.11 Å³/atom
- Total energy: -7.053 eV per atom

Cell and atoms, written as CIF:
```
data_Ti2WBr
_symmetry_space_group_name_H-M 'P 1'
_symmetry_Int_Tables_number 1
_cell_length_a 4.591
_cell_length_b 4.591
_cell_length_c 4.591
_cell_angle_alpha 60.00
_cell_angle_beta 60.00
_cell_angle_gamma 60.00
loop_
_symmetry_equiv_pos_as_xyz
'x,y,z'
loop_
_atom_site_label
_atom_site_type_symbol
_atom_site_fract_x
_atom_site_fract_y
_atom_site_fract_z
Ti1 Ti 0.250 0.250 0.250
Ti2 Ti 0.750 0.750 0.750
W1 W 0.000 0.000 0.000
Br1 Br 0.500 0.500 0.500
```

=====

No. 5
The following is a PBE-GGA calculation of crystalline RbAsC3 at its relaxed geometry, from Alexandria.

- Calculated formation energy: 2.563 eV/atom
- Polymorph energy (0 for the lowest one): 0.0 meV/atom
- Crystal system: cubic
- Calculated volume: 14.71 Å³/atom
- Total energy: -4.094 eV per atom

Cell and atoms, written as CIF:
```
data_RbAsC3
_symmetry_space_group_name_H-M 'P 1'
_symmetry_Int_Tables_number 1
_cell_length_a 4.190
_cell_length_b 4.190
_cell_length_c 4.190
_cell_angle_alpha 90.00
_cell_angle_beta 90.00
_cell_angle_gamma 90.00
loop_
_symmetry_equiv_pos_as_xyz
'x,y,z'
loop_
_atom_site_label
_atom_site_type_symbol
_atom_site_fract_x
_atom_site_fract_y
_atom_site_fract_z
Rb1 Rb 0.000 0.000 0.000
As1 As 0.500 0.500 0.500
C1 C 0.000 0.500 0.500
C2 C 0.500 0.000 0.500
C3 C 0.500 0.500 0.000
```

=====

No. 6
The following is a PBE-GGA calculation of crystalline Na4LaHo3Se8 at its relaxed geometry, from Alexandria.

- Crystal system: trigonal
- Calculated volume: 26.65 Å³/atom
- Total energy: -4.950 eV per atom

Cell and atoms, written as CIF:
```
data_Na4LaHo3Se8
_symmetry_space_group_name_H-M 'P 1'
_symmetry_Int_Tables_number 1
_cell_length_a 8.513
_cell_length_b 8.513
_cell_length_c 8.513
_cell_angle_alpha 59.01
_cell_angle_beta 59.01
_cell_angle_gamma 59.01
loop_
_symmetry_equiv_pos_as_xyz
'x,y,z'
loop_
_atom_site_label
_atom_site_type_symbol
_atom_site_fract_x
_atom_site_fract_y
_atom_site_fract_z
Na1 Na 0.000 0.000 0.000
Na2 Na 0.000 0.500 0.500
Na3 Na 0.500 0.000 0.500
Na4 Na 0.500 0.500 0.000
La1 La 0.500 0.500 0.500
Ho1 Ho 0.000 0.000 0.500
Ho2 Ho 0.000 0.500 0.000
Ho3 Ho 0.500 0.000 0.000
Se1 Se 0.233 0.749 0.749
Se2 Se 0.242 0.242 0.242
Se3 Se 0.251 0.251 0.767
Se4 Se 0.251 0.767 0.251
Se5 Se 0.749 0.233 0.749
Se6 Se 0.749 0.749 0.233
Se7 Se 0.758 0.758 0.758
Se8 Se 0.767 0.251 0.251
```